Material: La6NdMg2
Method: DFT, PBE
State: optimized geometry

```
La6NdMg2
1.0
6.1891 -0.0987 -0.0955
1.4250 10.0475 1.4229
1.4250 1.7477 9.9961
Nd Mg La
2 4 12
Direct
0.7500 0.8581 0.1419 Nd
0.2500 0.1419 0.8581 Nd
0.0904 0.2055 0.4750 Mg
0.5904 0.4750 0.2055 Mg
0.9096 0.7945 0.5250 Mg
0.4096 0.5250 0.7945 Mg
0.4728 0.6753 0.4410 La
0.1503 0.3567 0.1113 La
0.5272 0.3247 0.5590 La
0.0272 0.5590 0.3247 La
0.1973 0.9986 0.2292 La
0.3027 0.7708 0.0014 La
0.6973 0.2292 0.9986 La
0.6503 0.1113 0.3567 La
0.8027 0.0014 0.7708 La
0.9728 0.4410 0.6753 La
0.8497 0.6433 0.8887 La
0.3497 0.8887 0.6433 La
```

Summary:
**Formation energy from the elements**: 0.0203 eV/atom
**Energy relative to the lowest polymorph listed for this composition**: 31 meV/atom



Material: La3Nd6Mg2
Method: DFT, PBE
State: optimized geometry

```
La3Nd6Mg2
1.0
8.9992 -0.7045 3.9407
-0.5616 6.1149 2.0504
8.7380 4.1579 12.4776
Nd Mg La
6 2 3
Direct
0.2656 0.1659 0.4376 Nd
0.0864 0.7166 0.8154 Nd
0.9136 0.2834 0.1846 Nd
0.7344 0.8341 0.5624 Nd
0.6125 0.1032 0.7667 Nd
0.3875 0.8968 0.2333 Nd
0.4708 0.6086 0.0762 Mg
0.5292 0.3914 0.9238 Mg
0.1632 0.4343 0.6318 La
0.8368 0.5657 0.3682 La
0.0000 0.0000 0.0000 La
```

Summary:
**Formation energy from the elements**: -0.0043 eV/atom



Material: La4Nd4Mg
Method: DFT, PBE
State: optimized geometry

```
La4Nd4Mg
1.0
8.3269 -3.1139 -0.0001
-3.8915 7.9931 -0.0001
-0.0001 -0.0001 11.9777
Mg La Nd
2 8 8
Direct
0.5093 0.5093 0.2500 Mg
0.4907 0.4907 0.7500 Mg
0.0463 0.8489 0.7500 La
0.2206 0.7794 0.0000 La
0.7794 0.2206 0.0000 La
0.8489 0.0463 0.7500 La
0.7794 0.2206 0.5000 La
0.9537 0.1511 0.2500 La
0.1511 0.9537 0.2500 La
0.2206 0.7794 0.5000 La
0.2218 0.5982 0.7500 Nd
0.5982 0.2218 0.7500 Nd
0.7442 0.7442 0.0138 Nd
0.2558 0.2558 0.5139 Nd
0.7442 0.7442 0.4861 Nd
0.7782 0.4018 0.2500 Nd
0.4018 0.7782 0.2500 Nd
0.2558 0.2558 0.9862 Nd
```

Summary:
**Formation energy from the elements**: 0.2087 eV/atom



Material: La3NdMg
Method: DFT, PBE
State: optimized geometry

```
La3NdMg
1.0
3.7714 -0.0006 -0.6974
-0.3888 8.9575 -2.1051
-0.0607 -0.0606 10.2189
Mg Nd La
2 2 6
Direct
0.8161 0.5493 0.8908 Mg
0.0141 0.6750 0.2845 Mg
0.0138 0.1531 0.2833 Nd
0.8169 0.0718 0.8922 Nd
0.6173 0.9444 0.4924 La
0.4127 0.8397 0.0813 La
0.4175 0.3849 0.0941 La
0.2255 0.7401 0.7111 La
0.6055 0.4848 0.4643 La
0.2129 0.2801 0.6828 La
```

Summary:
**Formation energy from the elements**: -0.0197 eV/atom
**Energy relative to the lowest polymorph listed for this composition**: 0 meV/atom



Material: LaNd2Mg6
Method: DFT, PBE
State: optimized geometry

```
LaNd2Mg6
1.0
-1.3189 -3.1369 -0.0994
-2.8221 0.9115 8.7205
-8.3465 3.4534 1.8032
La Nd Mg
1 2 6
Direct
0.0000 0.0000 0.0000 La
0.0000 0.3333 0.3333 Nd
0.0000 0.6667 0.6667 Nd
0.4991 0.6649 0.0000 Mg
0.4991 0.0000 0.6649 Mg
0.5009 0.0000 0.3351 Mg
0.5000 0.6650 0.3350 Mg
0.5009 0.3351 0.0000 Mg
0.5000 0.3350 0.6650 Mg
```

Summary:
**Formation energy from the elements**: -0.0995 eV/atom



Material: La2NdMg
Method: DFT, PBE
State: optimized geometry

```
La2NdMg
1.0
-1.3509 -2.4273 -2.3911
0.6357 -3.5796 0.4654
-10.0034 -2.9007 5.7870
La Nd Mg
2 1 1
Direct
0.2539 0.2539 0.2384 La
0.0797 0.0797 0.7608 La
0.4996 0.4996 0.5012 Nd
0.6668 0.6668 0.9996 Mg
```

Summary:
**Formation energy from the elements**: 0.0342 eV/atom
**Energy relative to the lowest polymorph listed for this composition**: 80 meV/atom



Material: La4Nd5Mg2
Method: DFT, PBE
State: optimized geometry

```
La4Nd5Mg2
1.0
-1.7813 -0.9775 -2.9150
7.7041 -0.3583 -4.5876
0.4906 -11.2704 3.4795
Nd La Mg
5 4 2
Direct
0.0000 0.5712 0.2938 Nd
0.0000 0.5000 0.0000 Nd
0.0000 0.7951 0.8312 Nd
0.0000 0.4288 0.7062 Nd
0.0000 0.2049 0.1688 Nd
0.5000 0.1464 0.8844 La
0.5000 0.7167 0.5472 La
0.5000 0.8536 0.1156 La
0.5000 0.2833 0.4528 La
0.0000 0.0519 0.6304 Mg
0.0000 0.9481 0.3696 Mg
```

Summary:
**Formation energy from the elements**: 0.0529 eV/atom
**Energy relative to the lowest polymorph listed for this composition**: 5 meV/atom



Material: La2NdMg
Method: DFT, PBE
State: optimized geometry

```
La2NdMg
1.0
-2.0210 3.1156 -0.9048
-1.9419 -2.0156 -2.6031
-6.2983 -2.2214 6.4187
La Nd Mg
2 1 1
Direct
0.0000 0.0000 0.2288 La
0.0000 0.0000 0.7712 La
0.5000 0.5000 0.5000 Nd
0.5000 0.5000 0.0000 Mg
```

Summary:
**Formation energy from the elements**: -0.0408 eV/atom
**Energy relative to the lowest polymorph listed for this composition**: 5 meV/atom



Material: La2NdMg4
Method: DFT, PBE
State: optimized geometry

```
La2NdMg4
1.0
5.2874 0.0000 -1.6855
-0.5373 5.2601 -1.6855
-0.2161 -0.2393 8.4583
Nd Mg La
1 4 2
Direct
0.0000 0.0000 0.0000 Nd
0.1127 0.6127 0.2253 Mg
0.8873 0.3873 0.7747 Mg
0.6127 0.1127 0.2253 Mg
0.3873 0.8873 0.7747 Mg
0.2568 0.2568 0.5136 La
0.7432 0.7432 0.4864 La
```

Summary:
**Formation energy from the elements**: 0.1061 eV/atom



Material: LaNd4Mg3
Method: DFT, PBE
State: optimized geometry

```
LaNd4Mg3
1.0
3.8361 0.0000 0.0000
0.0000 5.6641 0.0000
0.0000 0.0000 11.4420
Mg Nd La
3 4 1
Direct
0.5000 0.0000 0.2509 Mg
0.5000 0.5000 0.5000 Mg
0.5000 0.0000 0.7491 Mg
0.0000 0.0000 0.0000 Nd
0.0000 0.0000 0.5000 Nd
0.0000 0.5000 0.2661 Nd
0.0000 0.5000 0.7339 Nd
0.5000 0.5000 0.0000 La
```

Summary:
**Formation energy from the elements**: -0.0338 eV/atom



Material: La6NdMg5
Method: DFT, PBE
State: optimized geometry

```
La6NdMg5
1.0
5.5318 0.0023 -1.1526
-0.0035 7.9868 -0.0008
-1.0212 0.0005 8.9234
La Mg Nd
6 5 1
Direct
0.1694 0.7450 0.3419 La
0.5000 0.7351 0.0000 La
0.8306 0.7450 0.6581 La
0.5000 0.2649 0.0000 La
0.1694 0.2550 0.3419 La
0.8306 0.2550 0.6581 La
0.3350 0.5000 0.6658 Mg
0.3399 0.0000 0.6767 Mg
0.0000 0.5000 0.0000 Mg
0.6650 0.5000 0.3342 Mg
0.6601 0.0000 0.3233 Mg
0.0000 0.0000 0.0000 Nd
```

Summary:
**Formation energy from the elements**: -0.0618 eV/atom



Material: La2Nd4Mg
Method: DFT, PBE
State: optimized geometry

```
La2Nd4Mg
1.0
6.1509 0.0000 -0.3897
0.0000 6.7611 0.0000
-2.3988 0.0000 11.6780
Nd Mg La
8 2 4
Direct
0.1445 0.7500 0.4411 Nd
0.9929 0.2500 0.1227 Nd
0.3550 0.0004 0.7171 Nd
0.8555 0.2500 0.5589 Nd
0.6450 0.9996 0.2829 Nd
0.0071 0.7500 0.8773 Nd
0.6450 0.5004 0.2829 Nd
0.3550 0.4996 0.7171 Nd
0.1475 0.7500 0.1675 Mg
0.8525 0.2500 0.8325 Mg
0.7167 0.7500 0.5701 La
0.2833 0.2500 0.4299 La
0.4093 0.2500 0.9938 La
0.5907 0.7500 0.0062 La
```

Summary:
**Formation energy from the elements**: 0.0669 eV/atom
**Energy relative to the lowest polymorph listed for this composition**: 0 meV/atom



- Number 8 is which compound?
  La2NdMg



- Among the records above, which one has the highest formation energy from the elements?
  La4Nd4Mg



- Which value of formation energy from the elements does entry 5 give?
  -0.0995 eV/atom